(1)
Computed, not measured: a geometry-optimized Tm2OF3 structure at the PBE level of DFT.

Geometry as POSCAR:
```
Tm2OF3
1.0
-0.537 -3.780 -0.387
5.383 -1.266 4.901
-6.983 0.758 2.295
Tm F O
4 6 2
Direct
0.000 0.000 0.000
0.000 0.500 0.500
0.000 0.000 0.500
0.000 0.500 0.000
0.216 0.158 0.316
0.784 0.842 0.684
0.784 0.316 0.158
0.216 0.684 0.842
0.784 0.842 0.158
0.216 0.158 0.842
0.155 0.667 0.333
0.845 0.333 0.667
```

Computed properties:
symmetry	P-3m1, No. 164
M_tot	0.1550	μB/atom

=====

(2)
Computed, not measured: a geometry-optimized TmOF structure at the PBE level of DFT.

Geometry as POSCAR:
```
TmOF
1.0
3.988 0.943 0.158
1.231 5.884 0.991
0.000 -0.605 3.592
O F Tm
2 2 2
Direct
0.784 0.961 0.752
0.220 0.047 0.252
0.669 0.564 0.252
0.335 0.443 0.752
0.377 0.810 0.752
0.627 0.198 0.252
```

Computed properties:
symmetry	P2_1/m, No. 11
M_tot	0.0000	μB/atom

=====

(3)
Computed, not measured: a geometry-optimized TmOF structure at the PBE level of DFT.

Geometry as POSCAR:
```
TmOF
1.0
5.436 0.000 0.000
0.000 5.528 0.437
0.000 0.525 5.517
Tm F O
4 4 4
Direct
0.975 0.194 0.213
0.525 0.194 0.713
0.025 0.806 0.787
0.475 0.806 0.287
0.316 0.554 0.646
0.816 0.446 0.854
0.684 0.446 0.354
0.184 0.554 0.146
0.753 0.963 0.510
0.253 0.037 0.990
0.747 0.963 0.010
0.247 0.037 0.490
```

Computed properties:
symmetry	P2_1/c, No. 14
M_tot	0.0000	μB/atom

=====

Number 1: uncorrected formation energy -3.45 eV/atom. Number 2: uncorrected formation energy -3.94 eV/atom. Number 3: uncorrected formation energy -3.96 eV/atom.